[1]
Computed, not measured: an optimized crystal structure of CePm2Rh at the PBE level of DFT.

a = 3.8760 Å, b = 3.8760 Å, c = 28.4647 Å
α = 90.00°, β = 90.00°, γ = 120.00°
Closest atoms and distances in Å follow each position.
Space group R3m (No. 160, hexagonal axes)
Inequivalent atoms, fractional coordinates:
Ce  0.0000  0.0000  0.0000 x3  6 Pm 3.76-3.81, 6 Ce 3.88
Pm  0.0000  0.0000  0.5585 x3  3 Rh 2.81
Pm  0.0000  0.0000  0.7727 x3  3 Rh 2.80
Rh  0.0000  0.0000  0.1652 x3  6 Pm 2.80-2.81

Total magnetic moment (μB/f.u.): 1.89
Crystal system: trigonal
E_form (eV/atom): -0.20
Distance to the lowest polymorph of the same formula (meV per atom): 210

[2]
Computed, not measured: an optimized crystal structure of CePm4Rh2 at the PBE level of DFT.

a = 7.8782 Å, b = 6.4728 Å, c = 7.8786 Å
α = 90.00°, β = 108.98°, γ = 90.00°
Closest atoms and distances in Å follow each position.
Space group P2_1/m (No. 11)
Inequivalent atoms, fractional coordinates:
Ce  0.1316  0.2500  0.3685 x2  2 Rh 2.46-2.47
Pm  0.0651  0.7500  0.0782 x2  2 Rh 2.86-3.06
Pm  0.3078  0.0002  0.8079 x4  3 Pm 3.23-3.52, 4 Rh 3.29-3.34
Pm  0.4223  0.7500  0.4364 x2  2 Rh 2.86-3.06
Rh  0.0605  0.7500  0.4395 x2  1 Ce 2.46
Rh  0.3232  0.2500  0.1756 x2  1 Ce 2.47

Total magnetic moment (μB/f.u.): 0.00
Crystal system: monoclinic
E_form (eV/atom): -0.32
Distance to the lowest polymorph of the same formula (meV per atom): 0